A relaxed structure of Tl3Br3Cl, computed with GGA-PBE.

Cell lengths 8.8750, 15.1532, 8.1756 Å; angles 90.00, 96.19, 90.00 degrees
Closest atoms and distances in Å follow each position.
Space group C2/m (No. 12)
Asymmetric unit:
Tl 0.1104 0.0000 0.2555 x4  2 Cl 2.85-3.07, 1 Br 2.96
Tl 0.2169 0.3159 0.2396 x8  1 Cl 3.08, 3 Br 3.21-3.38
Br 0.0000 0.1526 0.0000 x4  4 Tl 3.20-3.38
Br 0.0000 0.2433 0.5000 x4  4 Tl 3.21-3.24
Br 0.1062 0.5000 0.9043 x4  1 Br 2.58
Cl 0.1823 0.0000 0.6315 x4  4 Tl 2.85-3.08

Results
* formation energy (no corrections): -740 meV per atom
* spin magnetization: 0.00 μB per cell

A relaxed structure of Tl3Br7Cl, computed with GGA-PBE.

Cell lengths 13.6725, 8.2040, 9.9257 Å; angles 90.00, 131.90, 90.00 degrees
Closest atoms and distances in Å follow each position.
Space group Cm (No. 8)
Asymmetric unit:
Tl 0.0000 0.0000 0.0000 x2  1 Cl 2.99, 5 Br 3.00-3.08
Tl 0.2512 0.2491 0.4997 x4  5 Br 2.71-2.93, 1 Cl 2.80
Br 0.0644 0.5000 0.3608 x2  2 Tl 2.82
Br 0.2098 0.2577 0.1913 x4  2 Tl 2.72-3.00
Br 0.2890 0.2406 0.8051 x4  2 Tl 2.71-3.02
Br 0.4386 0.0000 0.6393 x2  2 Tl 2.81
Br 0.4531 0.5000 0.6499 x2  3 Tl 2.93-3.08
Cl 0.0649 0.0000 0.3534 x2  3 Tl 2.80-2.99

Results
* formation energy (no corrections): -473 meV per atom
* spin magnetization: 0.00 μB per cell

A relaxed structure of TlBrCl2, computed with GGA-PBE.

Cell lengths 5.1031, 5.1312, 5.2524 Å; angles 90.00, 90.00, 90.00 degrees
Closest atoms and distances in Å follow each position.
Space group Pmm2 (No. 25)
Asymmetric unit:
Tl 0.0000 0.0000 0.0000 x1  2 Cl 2.63
Br 0.5000 0.5000 0.2063 x1  2 Cl 2.56-2.69
Cl 0.0000 0.0000 0.4999 x1  2 Tl 2.63
Cl 0.5000 0.5000 0.6938 x1  2 Br 2.56-2.69

Results
* formation energy (no corrections): -335 meV per atom
* spin magnetization: 0.00 μB per cell

A relaxed structure of TlBrCl3, computed with GGA-PBE.

Cell lengths 6.3684, 7.3705, 6.7155 Å; angles 90.00, 90.00, 90.00 degrees
Closest atoms and distances in Å follow each position.
Space group Pmn2_1 (No. 31)
Asymmetric unit:
Tl 0.0000 0.0018 0.0000 x2  5 Cl 2.59-2.67, 1 Br 2.74
Br 0.0000 0.7038 0.7567 x2  1 Tl 2.74
Cl 0.0000 0.2832 0.2314 x2  1 Tl 2.59
Cl 0.2500 0.1800 0.7487 x4  2 Tl 2.67

Results
* formation energy (no corrections): -308 meV per atom
* spin magnetization: 0.76 μB per cell

A relaxed structure of Tl4BrCl3, computed with GGA-PBE.

Cell lengths 8.0420, 9.2914, 8.0427 Å; angles 90.00, 109.48, 90.00 degrees
Closest atoms and distances in Å follow each position.
Space group P2/c (No. 13)
Asymmetric unit:
Tl 0.2407 0.1297 0.0009 x4  4 Cl 3.22-3.30, 2 Br 3.35
Tl 0.2487 0.3796 0.4947 x4  5 Cl 3.22-3.31, 1 Br 3.33
Br 0.5000 0.1253 0.7500 x2  6 Tl 3.33-3.35
Cl 0.0000 0.1269 0.2500 x2  6 Tl 3.22-3.30
Cl 0.0000 0.3763 0.7500 x2  6 Tl 3.22-3.31
Cl 0.5000 0.3751 0.2500 x2  6 Tl 3.26-3.28

Results
* formation energy (no corrections): -975 meV per atom
* spin magnetization: 0.00 μB per cell

A relaxed structure of TlBrCl2, computed with GGA-PBE.

Cell lengths 7.4402, 7.4402, 7.4402 Å; angles 90.00, 90.00, 90.00 degrees
Closest atoms and distances in Å follow each position.
Space group F-43m (No. 216)
Asymmetric unit:
Tl 0.0000 0.0000 0.0000 x4  4 Cl 3.22, 4 Br 3.22
Br 0.2500 0.2500 0.2500 x4  4 Tl 3.22, 4 Cl 3.22
Cl 0.0000 0.0000 0.5000 x4  4 Cl 3.22, 4 Br 3.22
Cl 0.2500 0.2500 0.7500 x4  4 Tl 3.22, 4 Cl 3.22

Results
* formation energy (no corrections): -92 meV per atom
* spin magnetization: 3.24 μB per cell

A relaxed structure of TlBr2Cl6, computed with GGA-PBE.

Cell lengths 4.4571, 8.4993, 9.7880 Å; angles 102.00, 93.73, 92.81 degrees
Closest atoms and distances in Å follow each position.
Space group P-1 (No. 2)
Asymmetric unit:
Tl 0.0000 0.0000 0.0000 x1  2 Cl 2.39
Br 0.4770 0.7571 0.0009 x2  1 Cl 2.59
Cl 0.0436 0.0784 0.2495 x2  1 Tl 2.39
Cl 0.4829 0.3623 0.5519 x2  1 Cl 2.12
Cl 0.4944 0.6694 0.2388 x2  1 Cl 2.12

Results
* formation energy (no corrections): -154 meV per atom
* spin magnetization: 0.97 μB per cell

A relaxed structure of Tl2BrCl, computed with GGA-PBE.

Cell lengths 4.5559, 4.5559, 24.1262 Å; angles 90.00, 90.00, 120.00 degrees
Closest atoms and distances in Å follow each position.
Space group R3m (No. 160, hexagonal axes)
Asymmetric unit:
Tl 0.0000 0.0000 0.0000 x3  3 Cl 3.26, 3 Br 3.38
Tl 0.0000 0.0000 0.1742 x3  3 Cl 3.25, 3 Br 3.36
Br 0.0000 0.0000 0.7546 x3  6 Tl 3.36-3.38
Cl 0.0000 0.0000 0.5866 x3  6 Tl 3.25-3.26

Results
* formation energy (no corrections): -922 meV per atom
* spin magnetization: 0.00 μB per cell